{"formula": "TaCdWO6", "functional": "PBE with a Hubbard U", "state": "relaxed", "final_energy_ry_per_atom": -0.56158, "lattice": [[4.9528, 0.0000, 0.0000], [0.0000, 4.9528, 0.0000], [0.0000, 0.0000, 9.4682]], "species": ["Ta", "Ta", "Cd", "Cd", "W", "W", "O", "O", "O", "O", "O", "O", "O", "O", "O", "O", "O", "O"], "fractional_positions": [[0.5000, 0.5000, 0.8309], [0.0000, 0.0000, 0.3309], [0.5000, 0.5000, 0.5015], [0.0000, 0.0000, 0.0015], [0.5000, 0.5000, 0.1726], [0.0000, 0.0000, 0.6726], [0.1760, 0.8240, 0.5002], [0.8240, 0.1760, 0.5002], [0.3240, 0.3240, 0.0002], [0.6760, 0.6760, 0.0002], [0.2118, 0.7882, 0.1903], [0.7882, 0.2118, 0.1903], [0.2882, 0.2882, 0.6903], [0.7118, 0.7118, 0.6903], [0.7853, 0.2147, 0.8070], [0.2147, 0.7853, 0.8070], [0.7147, 0.7147, 0.3070], [0.2853, 0.2853, 0.3070]]}